1.
InCo2BiOs (PBE-GGA, optimized geometry); total moment = 2.6 μB per cell; volume = 21.7 Å³ per atom; DFT formation energy = 522 kJ/mol of formula units; raw total energy = -5.329 eV/atom
1.0
4.613 0.000 0.000
0.000 5.101 0.000
0.000 0.000 4.613
Co Bi In Os
2 1 1 1
direct
0.500 0.000 0.000
0.000 0.000 0.500
0.500 0.500 0.500
0.000 0.500 0.000
0.000 0.000 0.000


2.
In2CoBiPb (PBE-GGA, optimized geometry); total moment = 0.0 μB per cell; volume = 25.7 Å³ per atom; DFT formation energy = 86 kJ/mol of formula units; raw total energy = -3.857 eV/atom
1.0
-0.250 4.710 1.636
-4.279 -1.043 2.352
2.639 -1.324 4.214
In Bi Pb Co
2 1 1 1
direct
0.500 0.000 0.000
0.000 0.500 0.000
0.000 0.000 0.500
0.500 0.500 0.500
0.000 0.000 0.000